Below is SmGdGeAu after structural relaxation, with properties calculated at the PBE level.

space group: F-43m, No. 216
energy: -7.434 eV per atom

POSCAR file:
```
SmGdGeAu
1.0
-0.590 4.709 2.005
0.871 0.792 5.016
4.125 2.695 1.504
Gd Au Sm Ge
1 1 1 1
Direct
0.000 0.000 0.000 Gd
0.750 0.750 0.750 Au
0.500 0.500 0.500 Sm
0.250 0.250 0.250 Ge
```

=====

Below is Th3PaSi7 after structural relaxation, with properties calculated at the PBE level.

E_form (uncorrected): -0.52 eV per atom
space group: Cmcm, No. 63
energy: -6.859 eV per atom

POSCAR file:
```
Th3PaSi7
1.0
-1.986 2.373 2.821
-7.332 -3.469 -5.353
-0.863 -9.272 7.193
Si Th Pa
14 6 2
Direct
0.502 0.004 0.902 Si
0.371 0.742 0.148 Si
0.629 0.258 0.648 Si
0.629 0.258 0.852 Si
0.594 0.187 0.250 Si
0.498 0.996 0.402 Si
0.270 0.539 0.035 Si
0.498 0.996 0.098 Si
0.730 0.461 0.965 Si
0.730 0.461 0.535 Si
0.502 0.004 0.598 Si
0.270 0.539 0.465 Si
0.406 0.813 0.750 Si
0.371 0.742 0.352 Si
0.759 0.518 0.250 Th
0.110 0.220 0.046 Th
0.110 0.220 0.454 Th
0.890 0.780 0.546 Th
0.241 0.482 0.750 Th
0.890 0.780 0.954 Th
0.960 0.920 0.250 Pa
0.040 0.080 0.750 Pa
```

=====

Below is ThPaGa2 after structural relaxation, with properties calculated at the PBE level.

space group: R-3m, No. 166
energy: -5.896 eV per atom

POSCAR file:
```
ThPaGa2
1.0
3.263 0.000 0.000
1.632 2.826 0.000
1.632 0.942 10.280
Ga Th Pa
2 1 1
Direct
0.252 0.252 0.245 Ga
0.748 0.748 0.755 Ga
0.500 0.500 0.500 Th
0.000 0.000 0.000 Pa
```

=====

Below is AlPb3F after structural relaxation, with properties calculated at the PBE level.

E_form (uncorrected): -0.27 eV per atom
space group: Pm-3m, No. 221
energy: -3.621 eV per atom

POSCAR file:
```
AlPb3F
1.0
-1.394 4.895 -0.648
-2.569 -0.144 4.439
4.217 1.530 2.490
Pb F Al
3 1 1
Direct
0.000 0.000 0.500 Pb
0.500 0.000 0.000 Pb
0.000 0.500 0.000 Pb
0.000 0.000 0.000 F
0.500 0.500 0.500 Al
```

=====

Below is Ce2InGeOs after structural relaxation, with properties calculated at the PBE level.

space group: P2_1/m, No. 11
energy: -6.458 eV per atom

POSCAR file:
```
Ce2InGeOs
1.0
-0.387 4.140 0.513
-0.830 0.828 -7.307
-7.433 -1.305 4.922
Ce In Ge Os
4 2 2 2
Direct
0.250 0.210 0.342 Ce
0.250 0.306 0.967 Ce
0.750 0.790 0.658 Ce
0.750 0.694 0.033 Ce
0.250 0.754 0.350 In
0.750 0.246 0.650 In
0.750 0.474 0.277 Ge
0.250 0.526 0.723 Ge
0.750 0.095 0.075 Os
0.250 0.905 0.925 Os
```

=====

Below is BaNi2Br after structural relaxation, with properties calculated at the PBE level.

E_form (uncorrected): 0.23 eV per atom
space group: P4/mmm, No. 123
energy: -3.555 eV per atom

POSCAR file:
```
BaNi2Br
1.0
4.323 0.000 0.000
0.000 4.327 0.000
0.000 0.000 6.342
Ba Ni Br
1 2 1
Direct
0.500 0.500 0.250 Ba
0.000 0.000 0.077 Ni
0.000 0.000 0.423 Ni
0.500 0.500 0.750 Br
```

=====

Below is Cs2GeH4 after structural relaxation, with properties calculated at the PBE level.

space group: P2_1/m, No. 11
energy: -2.954 eV per atom

POSCAR file:
```
Cs2GeH4
1.0
5.129 0.000 0.000
0.000 7.863 -0.018
0.000 3.208 10.284
Cs H Ge
4 8 2
Direct
0.750 0.250 0.541 Cs
0.750 0.701 0.098 Cs
0.250 0.750 0.459 Cs
0.250 0.299 0.902 Cs
0.250 0.382 0.627 H
0.525 0.310 0.155 H
0.750 0.118 0.066 H
0.250 0.882 0.934 H
0.975 0.310 0.155 H
0.025 0.690 0.845 H
0.475 0.690 0.845 H
0.750 0.618 0.373 H
0.750 0.162 0.205 Ge
0.250 0.838 0.795 Ge
```

=====

Below is PuHf3Ti after structural relaxation, with properties calculated at the PBE level.

space group: C2/m, No. 12
energy: -10.275 eV per atom

POSCAR file:
```
PuHf3Ti
1.0
-1.212 2.793 0.149
-4.634 -0.035 -5.860
-9.304 -2.557 3.428
Hf Pu Ti
6 2 2
Direct
0.967 0.904 0.162 Hf
0.033 0.096 0.838 Hf
0.668 0.707 0.957 Hf
0.583 0.281 0.552 Hf
0.417 0.719 0.448 Hf
0.332 0.293 0.043 Hf
0.633 0.481 0.253 Pu
0.367 0.519 0.747 Pu
0.733 0.890 0.644 Ti
0.267 0.110 0.356 Ti
```

=====

Below is LaCd3O after structural relaxation, with properties calculated at the PBE level.

E_form (uncorrected): -0.12 eV per atom
space group: Pm-3m, No. 221
energy: -2.648 eV per atom

POSCAR file:
```
LaCd3O
1.0
4.930 0.000 0.000
0.000 4.930 0.000
0.000 0.000 4.930
Cd La O
3 1 1
Direct
0.000 0.000 0.500 Cd
0.000 0.500 0.000 Cd
0.500 0.000 0.000 Cd
0.500 0.500 0.500 La
0.000 0.000 0.000 O
```

=====

Below is DyY2Th3S6 after structural relaxation, with properties calculated at the PBE level.

E_form (uncorrected): -1.90 eV per atom
space group: C2/m, No. 12
energy: -7.284 eV per atom

POSCAR file:
```
DyY2Th3S6
1.0
6.749 0.019 0.008
-3.356 5.856 0.008
-1.123 -1.945 6.744
Th S Dy Y
3 6 1 2
Direct
0.167 0.833 0.500 Th
0.500 0.500 0.500 Th
0.833 0.167 0.500 Th
0.078 0.411 0.234 S
0.254 0.254 0.766 S
0.922 0.589 0.766 S
0.746 0.746 0.234 S
0.589 0.922 0.766 S
0.411 0.078 0.234 S
0.000 0.000 0.000 Dy
0.333 0.667 0.000 Y
0.667 0.333 0.000 Y
```

=====

Below is PmPr2N2Cl2 after structural relaxation, with properties calculated at the PBE level.

E_form (uncorrected): -1.33 eV per atom
space group: I4/mmm, No. 139
energy: -6.282 eV per atom

POSCAR file:
```
PmPr2N2Cl2
1.0
4.636 0.000 0.000
0.000 4.636 0.000
-2.318 -2.318 7.571
N Pr Cl Pm
2 2 2 1
Direct
0.500 0.000 0.000 N
0.000 0.500 0.000 N
0.401 0.401 0.801 Pr
0.599 0.599 0.199 Pr
0.189 0.189 0.377 Cl
0.811 0.811 0.623 Cl
0.000 0.000 0.000 Pm
```

=====

Below is ZnHg2Mo after structural relaxation, with properties calculated at the PBE level.

space group: Cmmm, No. 65
energy: -2.789 eV per atom

POSCAR file:
```
ZnHg2Mo
1.0
5.193 0.010 -0.018
-1.984 4.799 -0.018
0.012 0.018 2.952
Zn Hg Mo
1 2 1
Direct
0.000 0.500 0.500 Zn
0.500 0.500 0.000 Hg
0.000 0.000 0.000 Hg
0.500 0.000 0.500 Mo
```